A plane-wave DFT calculation with GGA+U was carried out for a geometry-optimized Tl3V5O14 structure.

Cell: 8.823 8.823 5.453 Å, 90.00 90.00 120.00°
Fractional positions:
O: 0.000 0.242 0.992
O: 0.293 0.831 0.406
O: 0.539 0.707 0.406
O: 0.169 0.169 0.362
O: 0.667 0.333 0.987
O: 0.169 0.461 0.406
O: 0.831 0.000 0.362
O: 0.758 0.758 0.992
O: 0.461 0.169 0.406
O: 0.000 0.831 0.362
O: 0.242 0.000 0.992
O: 0.333 0.667 0.987
O: 0.831 0.293 0.406
O: 0.707 0.539 0.406
Tl: 0.000 0.613 0.756
Tl: 0.387 0.387 0.756
Tl: 0.613 0.000 0.756
V: 0.333 0.667 0.293
V: 0.000 0.227 0.291
V: 0.773 0.773 0.291
V: 0.227 0.000 0.291
V: 0.667 0.333 0.293

Total DFT energy (no corrections) = -150.84 eV for the cell shown
Crystal system = trigonal
Space-group type = P31m

A plane-wave DFT calculation with GGA+U was carried out for a geometry-optimized TlVO2 structure.

Cell: 7.287 7.287 7.287 Å, 29.60 29.60 29.60°
Fractional positions:
O: 0.915 0.915 0.915
O: 0.085 0.085 0.085
V: 0.000 0.000 0.000
Tl: 0.500 0.500 0.500

Crystal system = trigonal
Energy above the lowest structure with this stoichiometry = 788 meV per atom
Space-group type = R-3m

A plane-wave DFT calculation with GGA+U was carried out for a geometry-optimized TlV4O8 structure.

Cell: 3.081 7.320 7.247 Å, 86.82 77.73 77.85°
Fractional positions:
O: 0.551 0.635 0.262
O: 0.218 0.642 0.921
O: 0.179 0.037 0.605
O: 0.852 0.700 0.596
O: 0.178 0.309 0.334
O: 0.809 0.368 0.014
O: 0.864 0.948 0.325
O: 0.474 0.374 0.678
V: 0.360 0.822 0.458
V: 0.175 0.497 0.153
V: 0.855 0.508 0.783
V: 0.671 0.186 0.473
Tl: 0.519 0.996 0.967

Total DFT energy (no corrections) = -96.47 eV for the cell shown
Crystal system = monoclinic
Space-group type = Cm

A plane-wave DFT calculation with GGA+U was carried out for a geometry-optimized TlVO structure.

Cell: 6.213 4.891 10.691 Å, 79.36 73.11 50.57°
Fractional positions:
Tl: 0.176 0.500 0.648
Tl: 0.324 0.500 0.352
Tl: 0.574 0.000 0.852
Tl: 0.426 0.000 0.148
V: 0.066 0.000 0.868
V: 0.934 0.000 0.132
V: 0.816 0.500 0.368
V: 0.684 0.500 0.632
O: 0.828 0.345 0.000
O: 0.172 0.655 0.000
O: 0.922 0.155 0.500
O: 0.578 0.845 0.500

Total DFT energy (no corrections) = -62.06 eV for the cell shown
Crystal system = orthorhombic
Space-group type = Fddd